## LiTiFeRh (GGA-PBE)

Data for crystalline LiTiFeRh at its relaxed geometry.

Computed properties:
The calculation puts the density of states at the Fermi level at 5.5 states/eV/cell. The total moment comes out at 1.3 μB/cell. The calculated total energy comes out at -6.612 eV per atom. The calculation puts the calculated volume at 52.6 Å³/cell.

a b c (Å): 4.2046 4.2046 4.2046
angles (deg): 60.00 60.00 60.00
Each line ends with the local moment (μB).
Sites, in units of the cell vectors:
Fe (0.0000, 0.0000, 0.0000)  1.74
Li (0.7500, 0.7500, 0.7500)  -0.03
Ti (0.2500, 0.2500, 0.2500)  -0.51
Rh (0.5000, 0.5000, 0.5000)  0.17

=====

## Pu4PdAu (GGA-PBE)

Data for crystalline Pu4PdAu at its relaxed geometry.

Computed properties:
The calculation puts the density of states at the Fermi level at 59.7 states/eV/cell. The total moment comes out at 48.3 μB/cell. The calculated total energy comes out at -11.062 eV per atom. The calculation puts the calculated volume at 306.7 Å³/cell.

a b c (Å): 7.1019 7.1019 7.8858
angles (deg): 116.76 116.76 90.00
Each line ends with the local moment (μB).
Sites, in units of the cell vectors:
Au (0.5000, 0.5000, 0.0000)  0.04
Au (0.0000, 0.0000, 0.0000)  0.04
Pu (0.7056, 0.5297, 0.7353)  5.59
Pu (0.9703, 0.7944, 0.2647)  5.59
Pu (0.2056, 0.7056, 0.7353)  5.59
Pu (0.7944, 0.2944, 0.2647)  5.59
Pu (0.4703, 0.9703, 0.2647)  5.59
Pu (0.2944, 0.4703, 0.2647)  5.59
Pu (0.5297, 0.0297, 0.7353)  5.59
Pu (0.0297, 0.2056, 0.7353)  5.59
Pd (0.7500, 0.7500, 0.5000)  0.04
Pd (0.2500, 0.2500, 0.5000)  0.04

=====

## BaCeMg2In2 (GGA-PBE)

Data for crystalline BaCeMg2In2 at its relaxed geometry.

Computed properties:
The calculation puts the density of states at the Fermi level at 6.9 states/eV/cell. The total moment comes out at 0.6 μB/cell. The calculated total energy comes out at -3.066 eV per atom. The calculation puts the calculated volume at 187.6 Å³/cell.

a b c (Å): 5.0984 5.0984 8.3319
angles (deg): 90.00 90.00 120.00
Each line ends with the local moment (μB).
Sites, in units of the cell vectors:
In (0.3333, 0.6667, 0.3008)  0.00
In (0.6667, 0.3333, 0.6992)  0.00
Ce (0.0000, 0.0000, 0.5000)  0.65
Mg (0.6667, 0.3333, 0.3082)  0.00
Mg (0.3333, 0.6667, 0.6918)  0.00
Ba (0.0000, 0.0000, 0.0000)  -0.01

=====

## Sr3SiH (GGA-PBE)

Data for crystalline Sr3SiH at its relaxed geometry.

Computed properties:
The calculation puts the density of states at the Fermi level at 2.9 states/eV/cell. The total moment comes out at 0.0 μB/cell. The calculated total energy comes out at -2.944 eV per atom. The calculation puts the calculated volume at 135.2 Å³/cell. The relative energy among the computed polymorphs is 0.40 eV per formula unit.

a b c (Å): 5.1328 5.1328 5.1328
angles (deg): 90.00 90.00 90.00
Sites, in units of the cell vectors:
Sr (0.5000, 0.0000, 0.0000)
Sr (0.0000, 0.5000, 0.0000)
Sr (0.0000, 0.0000, 0.5000)
Si (0.5000, 0.5000, 0.5000)
H (0.0000, 0.0000, 0.0000)

=====

## Cr2ReNi (GGA-PBE)

Data for crystalline Cr2ReNi at its relaxed geometry.

Computed properties:
The calculation puts the density of states at the Fermi level at 11.9 states/eV/cell. The total moment comes out at 0.0 μB/cell. The calculated total energy comes out at -8.630 eV per atom. The calculation puts the calculated volume at 107.5 Å³/cell.

a b c (Å): 6.5471 6.5471 5.2650
angles (deg): 51.55 51.55 90.00
Sites, in units of the cell vectors:
Re (0.7500, 0.2500, 0.5000)
Re (0.0000, 0.0000, 0.0000)
Cr (0.1265, 0.6250, 0.2500)
Cr (0.3750, 0.3765, 0.7500)
Cr (0.6235, 0.1250, 0.2500)
Cr (0.8750, 0.8735, 0.7500)
Ni (0.2500, 0.7500, 0.5000)
Ni (0.5000, 0.5000, 0.0000)

=====

## ScTi2Tl2 (GGA-PBE)

Data for crystalline ScTi2Tl2 at its relaxed geometry.

Computed properties:
The calculation puts the density of states at the Fermi level at 12.4 states/eV/cell. The total moment comes out at 5.7 μB/cell. The calculated total energy comes out at -5.236 eV per atom. The calculation puts the calculated volume at 216.2 Å³/cell.

a b c (Å): 8.2986 8.2986 3.1400
angles (deg): 90.00 90.00 90.00
Each line ends with the local moment (μB).
Sites, in units of the cell vectors:
Ti (0.1120, 0.3880, 0.0000)  0.86
Ti (0.8880, 0.6120, 0.0000)  0.86
Ti (0.3880, 0.8880, 0.0000)  0.89
Ti (0.6120, 0.1120, 0.0000)  0.89
Tl (0.1840, 0.6840, 0.5000)  -0.01
Tl (0.3160, 0.1840, 0.5000)  -0.01
Tl (0.6840, 0.8160, 0.5000)  -0.01
Tl (0.8160, 0.3160, 0.5000)  -0.01
Sc (0.5000, 0.5000, 0.0000)  0.49
Sc (0.0000, 0.0000, 0.0000)  0.49

=====

## CdTcAg2 (GGA-PBE)

Data for crystalline CdTcAg2 at its relaxed geometry.

Computed properties:
The calculation puts the density of states at the Fermi level at 1.9 states/eV/cell. The total moment comes out at 2.3 μB/cell. The calculated total energy comes out at -3.744 eV per atom. The calculation puts the calculated volume at 71.7 Å³/cell.

a b c (Å): 4.9500 4.9500 4.9500
angles (deg): 128.77 128.77 75.38
Each line ends with the local moment (μB).
Sites, in units of the cell vectors:
Tc (0.7500, 0.2500, 0.5000)  2.15
Ag (0.0000, 0.0000, 0.0000)  0.04
Ag (0.5000, 0.5000, 0.0000)  0.04
Cd (0.2500, 0.7500, 0.5000)  -0.03

=====

## LiPuNpBr6 (GGA-PBE)

Data for crystalline LiPuNpBr6 at its relaxed geometry.

Computed properties:
The calculation puts the density of states at the Fermi level at 50.1 states/eV/cell. The total moment comes out at 20.0 μB/cell. The calculated total energy comes out at -5.738 eV per atom. The calculation puts the calculated volume at 591.2 Å³/cell.

a b c (Å): 7.1926 7.1926 13.1964
angles (deg): 90.00 90.00 120.00
Each line ends with the local moment (μB).
Sites, in units of the cell vectors:
Br (0.0150, 0.3495, 0.8716)  -0.03
Br (0.3495, 0.0150, 0.3716)  -0.03
Br (0.6655, 0.6505, 0.3716)  -0.03
Br (0.6505, 0.6655, 0.8716)  -0.03
Br (0.3495, 0.3345, 0.1284)  -0.03
Br (0.3345, 0.9850, 0.8716)  -0.03
Br (0.6505, 0.9850, 0.6284)  -0.03
Br (0.6655, 0.0150, 0.1284)  -0.03
Br (0.9850, 0.3345, 0.3716)  -0.03
Br (0.9850, 0.6505, 0.1284)  -0.03
Br (0.0150, 0.6655, 0.6284)  -0.03
Br (0.3345, 0.3495, 0.6284)  -0.03
Pu (0.0000, 0.0000, 0.5000)  5.62
Pu (0.0000, 0.0000, 0.0000)  5.62
Li (0.3333, 0.6667, 0.7500)  0.00
Li (0.6667, 0.3333, 0.2500)  0.00
Np (0.3333, 0.6667, 0.2500)  4.24
Np (0.6667, 0.3333, 0.7500)  4.24

=====

## V2GaOs3 (GGA-PBE)

Data for crystalline V2GaOs3 at its relaxed geometry.

Computed properties:
The calculation puts the density of states at the Fermi level at 3.5 states/eV/cell. The total moment comes out at 0.0 μB/cell. The calculated total energy comes out at -9.404 eV per atom. The calculation puts the calculated volume at 83.2 Å³/cell.

a b c (Å): 3.0263 3.0263 9.0859
angles (deg): 90.00 90.00 90.00
Sites, in units of the cell vectors:
Os (0.0000, 0.0000, 0.0000)
Os (0.0000, 0.0000, 0.6721)
Os (0.0000, 0.0000, 0.3279)
V (0.5000, 0.5000, 0.1668)
V (0.5000, 0.5000, 0.8332)
Ga (0.5000, 0.5000, 0.5000)

=====

## KFe2Cu (GGA-PBE)

Data for crystalline KFe2Cu at its relaxed geometry.

Computed properties:
The calculation puts the density of states at the Fermi level at 4.8 states/eV/cell. The total moment comes out at 5.4 μB/cell. The calculated total energy comes out at -4.462 eV per atom. The calculation puts the calculated volume at 67.8 Å³/cell. The relative energy among the computed polymorphs is 1.89 eV per formula unit.

a b c (Å): 2.6208 4.9234 5.2559
angles (deg): 90.00 90.00 90.00
Each line ends with the local moment (μB).
Sites, in units of the cell vectors:
Fe (0.0000, 0.0000, 0.0000)  2.76
Fe (0.5000, 0.5000, 0.0000)  2.81
K (0.5000, 0.0000, 0.5000)  -0.03
Cu (0.0000, 0.5000, 0.5000)  0.02

=====

## LaIn2Sn4 (GGA-PBE)

Data for crystalline LaIn2Sn4 at its relaxed geometry.

Computed properties:
The calculation puts the density of states at the Fermi level at 6.9 states/eV/cell. The total moment comes out at 0.0 μB/cell. The calculated total energy comes out at -3.388 eV per atom. The calculation puts the calculated volume at 273.3 Å³/cell.

a b c (Å): 6.0542 6.0542 8.5972
angles (deg): 69.38 69.38 90.00
Sites, in units of the cell vectors:
In (0.4009, 0.4009, 0.1982)
In (0.5991, 0.5991, 0.8018)
La (0.0000, 0.0000, 0.0000)
Sn (0.7887, 0.7887, 0.4226)
Sn (0.0000, 0.5000, 0.0000)
Sn (0.5000, 0.0000, 0.0000)
Sn (0.2113, 0.2113, 0.5774)

=====

## RbSmPbCl6 (GGA-PBE)

Data for crystalline RbSmPbCl6 at its relaxed geometry.

Computed properties:
The calculation puts the density of states at the Fermi level at 0.0 states/eV/cell. The total moment comes out at 0.0 μB/cell. The calculated total energy comes out at -4.145 eV per atom. The calculation puts the calculated volume at 672.6 Å³/cell.

a b c (Å): 7.4357 7.4357 14.0477
angles (deg): 90.00 90.00 120.00
Sites, in units of the cell vectors:
Pb (0.6667, 0.3333, 0.7500)
Pb (0.3333, 0.6667, 0.2500)
Cl (0.6198, 0.9802, 0.8606)
Cl (0.6396, 0.6198, 0.1394)
Cl (0.0198, 0.6396, 0.8606)
Cl (0.3802, 0.0198, 0.1394)
Cl (0.9802, 0.6198, 0.3606)
Cl (0.3604, 0.3802, 0.8606)
Cl (0.3802, 0.3604, 0.3606)
Cl (0.3604, 0.9802, 0.6394)
Cl (0.6396, 0.0198, 0.3606)
Cl (0.6198, 0.6396, 0.6394)
Cl (0.9802, 0.3604, 0.1394)
Cl (0.0198, 0.3802, 0.6394)
Sm (0.6667, 0.3333, 0.2500)
Sm (0.3333, 0.6667, 0.7500)
Rb (0.0000, 0.0000, 0.0000)
Rb (0.0000, 0.0000, 0.5000)

=====

## YTmPd2 (GGA-PBE)

Data for crystalline YTmPd2 at its relaxed geometry.

Computed properties:
The calculation puts the density of states at the Fermi level at 1.9 states/eV/cell. The total moment comes out at 0.0 μB/cell. The calculated total energy comes out at -6.237 eV per atom. The calculation puts the calculated volume at 84.9 Å³/cell. The relative energy among the computed polymorphs is 0.08 eV per formula unit.

a b c (Å): 3.4278 4.9780 4.9780
angles (deg): 90.00 90.00 90.00
Sites, in units of the cell vectors:
Pd (0.0000, 0.0000, 0.5000)
Pd (0.0000, 0.5000, 0.0000)
Tm (0.5000, 0.5000, 0.5000)
Y (0.5000, 0.0000, 0.0000)